[1]
Entry from Alexandria: Sr2PrTl3 after structural relaxation (PBE).

The structure in POSCAR format:
```
Sr2PrTl3
1.0
-0.778 2.184 -3.282
-3.432 -2.022 -0.532
-5.922 8.241 6.888
Sr Tl Pr
2 3 1
Cartesian
-3.107 1.475 -0.742 Sr
-7.025 6.927 3.815 Sr
0.000 0.000 0.000 Tl
-3.884 5.404 4.517 Tl
-2.038 2.836 2.371 Tl
-5.066 4.201 1.537 Pr
```

Properties
* formation energy: -0.407 eV/atom
* total moment: 0.00 μB per cell


[2]
Entry from Alexandria: K2TaSiAu after structural relaxation (PBE).

The structure in POSCAR format:
```
K2TaSiAu
1.0
5.899 0.000 0.000
0.000 5.277 0.000
0.000 0.000 5.899
K Au Ta Si
2 1 1 1
Cartesian
2.950 0.000 0.000 K
0.000 0.000 2.950 K
0.000 0.000 0.000 Au
0.000 2.639 0.000 Ta
2.950 2.639 2.950 Si
```

Properties
* total moment: 1.36 μB per cell
* total energy: -3.28 eV per atom


[3]
Entry from Alexandria: NaTmCl4 after structural relaxation (PBE).

The structure in POSCAR format:
```
NaTmCl4
1.0
-0.608 -1.763 -7.505
-6.131 -1.681 0.892
-2.269 6.276 -1.290
Na Cl Tm
2 8 2
Cartesian
-2.222 3.199 -7.385 Na
-0.655 1.313 -1.410 Na
-6.062 1.262 -4.625 Cl
-2.946 1.569 -3.278 Cl
-2.946 0.570 -6.832 Cl
-6.062 2.261 -1.072 Cl
-4.800 -1.506 -2.405 Cl
-4.208 4.337 -5.498 Cl
-3.630 5.015 -1.916 Cl
-5.378 -2.183 -5.988 Cl
-4.979 3.252 -3.133 Tm
-4.029 -0.421 -4.770 Tm
```

Properties
* total moment: 0.00 μB per cell
* total energy: -4.32 eV per atom


[4]
Entry from Alexandria: Pa3Si5Te12 after structural relaxation (PBE).

The structure in POSCAR format:
```
Pa3Si5Te12
1.0
14.836 0.000 0.000
-4.945 13.988 0.000
-4.945 -6.994 12.114
Te Si Pa
48 20 12
Cartesian
2.334 9.301 4.971 Te
-5.518 -0.039 10.008 Te
-1.104 8.085 5.038 Te
7.557 3.843 4.483 Te
-5.084 10.145 4.483 Te
-3.142 7.928 9.521 Te
1.900 -1.804 11.028 Te
10.463 7.032 2.105 Te
-1.369 -3.817 8.650 Te
8.088 -0.934 2.593 Te
-0.573 8.837 1.019 Te
-1.803 -0.784 5.569 Te
2.611 -2.307 7.143 Te
-0.573 5.190 1.086 Te
-2.611 -5.458 11.626 Te
7.557 12.452 0.488 Te
-2.611 3.151 7.631 Te
1.900 1.843 11.094 Te
5.518 1.804 11.028 Te
6.049 -1.091 7.076 Te
8.787 -4.908 10.540 Te
0.670 8.712 8.162 Te
1.803 5.276 8.162 Te
1.369 1.091 7.076 Te
6.314 10.811 3.464 Te
-1.369 4.908 10.540 Te
-4.807 5.458 11.626 Te
4.276 -1.718 3.951 Te
9.752 1.536 0.488 Te
5.615 6.060 9.521 Te
3.045 5.151 1.019 Te
3.142 1.718 3.951 Te
3.577 5.903 5.038 Te
-6.049 3.817 8.650 Te
5.518 -1.843 11.094 Te
-1.900 0.039 10.008 Te
-4.276 6.210 6.544 Te
-3.842 11.902 1.574 Te
0.138 4.687 4.971 Te
10.995 3.177 3.464 Te
-0.670 0.934 2.593 Te
6.748 7.778 6.544 Te
9.221 0.784 5.569 Te
6.314 2.086 1.574 Te
3.045 8.798 1.086 Te
6.846 6.955 2.105 Te
4.807 2.307 7.143 Te
10.029 -3.151 7.631 Te
8.654 -0.874 7.571 Si
0.000 0.000 0.000 Si
-1.236 11.365 1.514 Si
1.236 -3.497 9.085 Si
6.182 -4.371 10.600 Si
-2.473 6.994 0.000 Si
-2.473 -3.497 6.057 Si
3.709 2.623 1.514 Si
3.709 10.491 3.028 Si
2.473 3.497 6.057 Si
-1.236 3.497 3.028 Si
-1.236 0.874 7.571 Si
1.236 4.371 10.600 Si
7.418 0.000 0.000 Si
4.945 6.994 0.000 Si
6.182 3.497 9.085 Si
-4.945 3.497 6.057 Si
4.945 -3.497 6.057 Si
-3.709 7.868 4.543 Si
6.182 6.120 4.543 Si
1.236 6.994 3.028 Pa
8.654 4.371 1.514 Pa
3.709 7.868 7.571 Pa
-1.236 6.120 7.571 Pa
-3.709 -2.623 10.600 Pa
6.182 0.874 4.543 Pa
8.654 9.617 1.514 Pa
3.709 0.000 9.085 Pa
-6.182 6.994 9.085 Pa
11.127 0.000 3.028 Pa
-3.709 2.623 10.600 Pa
1.236 -0.874 4.543 Pa
```

Properties
* total moment: 9.74 μB per cell
* total energy: -4.87 eV per atom


[5]
Entry from Alexandria: TbHg2Pd5 after structural relaxation (PBE).

The structure in POSCAR format:
```
TbHg2Pd5
1.0
-6.431 2.938 -1.819
-2.016 -0.069 7.016
6.371 3.681 -1.931
Pd Tb Hg
10 2 4
Cartesian
-1.491 2.095 4.474 Pd
-0.213 3.789 2.690 Pd
-1.863 2.760 0.576 Pd
-3.123 3.618 -1.946 Pd
-2.995 5.273 0.275 Pd
0.920 1.277 2.991 Pd
0.000 0.000 0.000 Pd
1.047 2.931 5.212 Pd
-4.223 1.434 2.598 Pd
-0.584 4.454 -1.208 Pd
-3.150 3.992 2.932 Tb
1.074 2.557 0.334 Tb
-3.925 0.956 5.303 Hg
-4.521 1.912 -0.106 Hg
-1.691 0.430 2.142 Hg
-6.756 2.438 3.055 Hg
```

Properties
* formation energy: -0.393 eV/atom
* total moment: 0.00 μB per cell


[6]
Entry from Alexandria: RbScIn2 after structural relaxation (PBE).

The structure in POSCAR format:
```
RbScIn2
1.0
3.716 0.000 0.000
0.000 3.716 0.000
0.000 0.000 8.814
Sc Rb In
1 1 2
Cartesian
1.858 1.858 0.000 Sc
1.858 1.858 4.407 Rb
0.000 0.000 1.629 In
0.000 0.000 7.185 In
```

Properties
* formation energy: -0.164 eV/atom
* total moment: 0.00 μB per cell


[7]
Entry from Alexandria: CeIn2Hg after structural relaxation (PBE).

The structure in POSCAR format:
```
CeIn2Hg
1.0
4.676 0.000 0.000
0.000 4.715 0.000
0.000 0.000 4.715
Ce Hg In
1 1 2
Cartesian
2.338 2.357 2.357 Ce
2.338 0.000 0.000 Hg
0.000 0.000 2.357 In
0.000 2.357 0.000 In
```

Properties
* formation energy: -0.344 eV/atom
* total moment: 1.00 μB per cell


[8]
Entry from Alexandria: PmPr3Ge2 after structural relaxation (PBE).

The structure in POSCAR format:
```
PmPr3Ge2
1.0
8.193 0.997 0.777
3.591 7.431 0.777
3.591 2.568 7.016
Pr Ge Pm
6 4 2
Cartesian
7.941 4.333 1.138 Pr
10.764 4.181 4.646 Pr
6.667 2.597 5.651 Pr
8.709 8.399 2.919 Pr
4.612 6.816 3.924 Pr
7.436 6.663 7.432 Pr
5.458 3.903 3.042 Ge
9.918 7.093 5.527 Ge
2.230 1.595 1.243 Ge
13.146 9.402 7.327 Ge
0.000 0.000 0.000 Pm
7.688 5.498 4.285 Pm
```

Properties
* formation energy: -0.325 eV/atom
* total moment: 0.00 μB per cell


[9]
Entry from Alexandria: Cu2WAu after structural relaxation (PBE).

The structure in POSCAR format:
```
Cu2WAu
1.0
-1.841 -4.486 -4.951
6.523 -2.317 -0.325
1.788 -5.221 -0.784
Cu W Au
4 2 2
Cartesian
4.284 -3.338 -1.044 Cu
3.131 -6.479 -2.569 Cu
0.122 -4.375 -3.305 Cu
5.403 -9.856 -5.203 Cu
2.341 -3.402 -2.638 W
5.326 -5.470 -1.874 W
0.000 0.000 0.000 Au
1.144 -6.554 -4.187 Au
```

Properties
* formation energy: 0.856 eV/atom
* total moment: 0.00 μB per cell